# CsHgAsCl6, relaxed, DFT PBE-GGA
data_CsHgAsCl6
_symmetry_space_group_name_H-M 'P 3 1 2'
_symmetry_Int_Tables_number 149
_cell_length_a 6.8906
_cell_length_b 6.8906
_cell_length_c 7.7446
_cell_angle_alpha 90.00
_cell_angle_beta 90.00
_cell_angle_gamma 120.00
loop_
_symmetry_equiv_pos_as_xyz
'x,y,z'
'-y,x-y,z'
'-x+y,-x,z'
'-y,-x,-z'
'-x+y,y,-z'
'x,x-y,-z'
loop_
_atom_site_label
_atom_site_fract_x
_atom_site_fract_y
_atom_site_fract_z
Cs1 0.0000 0.0000 0.0000
Hg1 0.6667 0.3333 0.5000
As1 0.3333 0.6667 0.5000
Cl1 0.0205 0.3866 0.6919
# Density ... 3.24 g/cm³
# Total DFT energy (no corrections) ... -25.4 eV for the cell shown
# Volume ... 35.38 A^3/atom
# Crystal system ... trigonal